The following is a DFT calculation (PBE) of a geometry-optimized Sc3Be structure.

The space group is P2/m (No. 10) and the conventional cell measures 3.2615, 4.3270 and 5.9316 Å, with angles of 90.00, 100.70 and 90.00 degrees. The asymmetric unit holds Sc at (0.0000, 0.0000, 0.0000), Sc at (0.4138, 0.5000, 0.7256) and Be at (0.0000, 0.0000, 0.5000).

The energy relative to the lowest polymorph listed for this composition comes out at 166.5 meV/atom. The calculation puts the uncorrected energy at -22.0 eV per formula unit. Its energy of formation from the pure elements is 0.17 eV per atom.

---

The following is a DFT calculation (PBE) of a geometry-optimized ZnP2Rh structure.

The space group is I-42d (No. 122) and the conventional cell measures 5.4033, 5.4033 and 10.6044 Å, with angles of 90.00, 90.00 and 90.00 degrees. The asymmetric unit holds Zn at (0.0000, 0.0000, 0.0000), P at (0.2286, 0.2500, 0.6250) and Rh at (0.0000, 0.0000, 0.5000).

The calculation puts the uncorrected energy at -20.0 eV per formula unit. Its energy of formation from the pure elements is -0.15 eV per atom.